Material: GaFe5Co4
Method: DFT, PBE
State: optimized geometry

Unit cell a=3.9263 b=5.5885 c=6.2504 alpha=90.66 beta=108.31 gamma=90.00
Last column: magnetic moment on the atom in μB.
Element x y z (fractional)
Co 0.9972 0.2561 0.9944  1.34
Fe 0.5000 0.5000 0.0000  2.75
Co 0.3335 0.2534 0.6671  1.46
Ga 0.5000 0.0000 0.0000  -0.11
Fe 0.1711 0.0104 0.3422  2.80
Co 0.0028 0.7439 0.0056  1.34
Fe 0.8289 0.9896 0.6578  2.80
Fe 0.1720 0.4894 0.3440  2.82
Co 0.6665 0.7466 0.3329  1.46
Fe 0.8280 0.5106 0.6560  2.82

Output
SG: No. 12
Energy relative to the elements (eV per atom): 0.178
N(E_F) (states/eV per cell): 7.2